# 1
Na2SnGeF8: relaxed, PBE.

V in Å³ per cell: 184
D(E_F) in states/eV per cell: 0.0
Crystal system: monoclinic
Total magnetization in μB/f.u.: 0.000
Uncorrected energy in eV per formula unit: -56.579

```
data_Na2SnGeF8
_chemical_formula_sum 'Na2 Sn1 Ge1 F8'
_symmetry_space_group_name_H-M 'P 1 2/m 1'
_symmetry_Int_Tables_number 10
_symmetry_space_group_name_Hall '-P 2y'
_cell_length_a 5.0301
_cell_length_b 7.1557
_cell_length_c 5.1081
_cell_angle_alpha 90.00
_cell_angle_beta 90.34
_cell_angle_gamma 90.00
loop_
_atom_site_label
_atom_site_type_symbol
_atom_site_fract_x
_atom_site_fract_y
_atom_site_fract_z
Na1 Na 0.0000 0.2443 0.0000
Sn1 Sn 0.5000 0.5000 0.5000
Ge1 Ge 0.5000 0.0000 0.5000
F1 F 0.1873 0.5000 0.1935
F2 F 0.2425 0.0000 0.2471
F3 F 0.3216 0.1862 0.6781
```

---

# 2
MnNiSeN2: relaxed, PBE.

ΔE to the lowest computed polymorph in meV/atom: 397
V in Å³ per cell: 74
D(E_F) in states/eV per cell: 2.6
Crystal system: tetragonal
Total magnetization in μB/f.u.: 0.841

```
data_MnNiSeN2
_chemical_formula_sum 'Mn1 Ni1 Se1 N2'
_symmetry_space_group_name_H-M 'P 4/m m m'
_symmetry_Int_Tables_number 123
_symmetry_space_group_name_Hall '-P 4 2'
_cell_length_a 3.6675
_cell_length_b 3.6675
_cell_length_c 5.5271
_cell_angle_alpha 90.00
_cell_angle_beta 90.00
_cell_angle_gamma 90.00
loop_
_atom_site_label
_atom_site_type_symbol
_atom_site_fract_x
_atom_site_fract_y
_atom_site_fract_z
Mn1 Mn 0.0000 0.0000 0.0000
Ni1 Ni 0.5000 0.5000 0.5000
Se1 Se 0.5000 0.5000 0.0000
N1 N 0.0000 0.5000 0.5000
```

---

# 3
Sc6Ni2Ag: relaxed, PBE.

V in Å³ per cell: 723
ΔE_f in eV per formula unit: -2.745
D(E_F) in states/eV per cell: 49.5
Crystal system: orthorhombic
Total magnetization in μB/f.u.: 0.000

```
data_Sc6Ni2Ag
_chemical_formula_sum 'Sc24 Ni8 Ag4'
_symmetry_space_group_name_H-M 'I m m m'
_symmetry_Int_Tables_number 71
_symmetry_space_group_name_Hall '-I 2 2'
_cell_length_a 8.7192
_cell_length_b 8.8797
_cell_length_c 9.3320
_cell_angle_alpha 90.00
_cell_angle_beta 90.00
_cell_angle_gamma 90.00
loop_
_atom_site_label
_atom_site_type_symbol
_atom_site_fract_x
_atom_site_fract_y
_atom_site_fract_z
Sc1 Sc 0.0000 0.2031 0.2353
Sc2 Sc 0.2032 0.5000 0.1747
Sc3 Sc 0.2113 0.3147 0.5000
Ni1 Ni 0.0000 0.3535 0.0000
Ni2 Ni 0.0000 0.5000 0.3709
Ag1 Ag 0.0000 0.0000 0.0000
Ag2 Ag 0.0000 0.0000 0.5000
```

---

# 4
Pm8As2C3: relaxed, PBE.

V in Å³ per cell: 686
ΔE_f in eV per formula unit: -6.255
D(E_F) in states/eV per cell: 18.9
Crystal system: monoclinic
Total magnetization in μB/f.u.: 0.000

```
data_Pm8As2C3
_chemical_formula_sum 'Pm16 As4 C6'
_symmetry_space_group_name_H-M 'C 1 2/m 1'
_symmetry_Int_Tables_number 12
_symmetry_space_group_name_Hall '-C 2y'
_cell_length_a 14.6011
_cell_length_b 7.4614
_cell_length_c 6.5874
_cell_angle_alpha 90.00
_cell_angle_beta 107.06
_cell_angle_gamma 90.00
loop_
_atom_site_label
_atom_site_type_symbol
_atom_site_fract_x
_atom_site_fract_y
_atom_site_fract_z
Pm1 Pm 0.0999 0.0000 0.4025
Pm2 Pm 0.1019 0.2393 0.8949
Pm3 Pm 0.1020 0.5000 0.4177
As1 As 0.2455 0.5000 0.1746
C1 C 0.0000 0.0000 0.0000
C2 C 0.0000 0.2526 0.5000
```

---

# 5
CdPW2: relaxed, PBE.

ΔE to the lowest computed polymorph in meV/atom: 84
V in Å³ per cell: 151
ΔE_f in eV per formula unit: 1.351
D(E_F) in states/eV per cell: 4.8
Crystal system: orthorhombic
Total magnetization in μB/f.u.: 0.000

```
data_CdPW2
_chemical_formula_sum 'Cd2 P2 W4'
_symmetry_space_group_name_H-M 'C m m 2'
_symmetry_Int_Tables_number 35
_symmetry_space_group_name_Hall 'C 2 -2'
_cell_length_a 3.2579
_cell_length_b 4.5310
_cell_length_c 10.2351
_cell_angle_alpha 90.00
_cell_angle_beta 90.00
_cell_angle_gamma 90.00
loop_
_atom_site_label
_atom_site_type_symbol
_atom_site_fract_x
_atom_site_fract_y
_atom_site_fract_z
Cd1 Cd 0.0000 0.0000 0.0000
P1 P 0.0000 0.5000 0.3594
W1 W 0.0000 0.0000 0.5427
W2 W 0.0000 0.5000 0.7564
```

---

# 6
In2PbAu: relaxed, PBE.

V in Å³ per cell: 202
ΔE_f in eV per formula unit: -0.220
D(E_F) in states/eV per cell: 2.7
Crystal system: orthorhombic
Total magnetization in μB/f.u.: 0.000

```
data_In2PbAu
_chemical_formula_sum 'In4 Pb2 Au2'
_symmetry_space_group_name_H-M 'C m m m'
_symmetry_Int_Tables_number 65
_symmetry_space_group_name_Hall '-C 2 2'
_cell_length_a 4.6955
_cell_length_b 5.0804
_cell_length_c 8.4866
_cell_angle_alpha 90.00
_cell_angle_beta 90.00
_cell_angle_gamma 90.00
loop_
_atom_site_label
_atom_site_type_symbol
_atom_site_fract_x
_atom_site_fract_y
_atom_site_fract_z
In1 In 0.0000 0.0000 0.2078
Pb1 Pb 0.0000 0.5000 0.5000
Au1 Au 0.0000 0.5000 0.0000
```